1:
Entry from OQMD: a relaxed Cs3TbBr6 crystal (GGA-PBE).

Values from the calculation:
density = 3.684 g cm⁻³
SG = No. 225

Cell lengths 8.7116, 8.7116, 8.7116 Å; angles 60.00, 60.00, 60.00 degrees
Last column: nearest neighbours and their distance in Å.
Fractional coordinates of all 10 atoms:
Cs 0.0000 0.0000 0.0000  6 Br 3.36
Cs 0.2500 0.2500 0.2500  12 Br 4.36
Cs 0.7500 0.7500 0.7500  12 Br 4.36
Tb 0.5000 0.5000 0.5000  6 Br 2.80
Br 0.2729 0.2729 0.7271  1 Tb 2.80
Br 0.2729 0.7271 0.2729  1 Tb 2.80
Br 0.2729 0.7271 0.7271  1 Tb 2.80
Br 0.7271 0.2729 0.2729  1 Tb 2.80
Br 0.7271 0.2729 0.7271  1 Tb 2.80
Br 0.7271 0.7271 0.2729  1 Tb 2.80



2:
Entry from OQMD: a relaxed Cs3TbBr6 crystal (GGA-PBE).

Values from the calculation:
density = 3.851 g cm⁻³
SG = No. 14

Cell lengths 8.3979, 8.8939, 14.5159 Å; angles 90.00, 124.42, 90.00 degrees
Last column: nearest neighbours and their distance in Å.
Fractional coordinates of all 20 atoms:
Cs 0.0000 0.0000 0.0000  6 Br 3.52-3.61
Cs 0.0000 0.5000 0.5000  6 Br 3.52-3.61
Cs 0.2193 0.0690 0.7451  6 Br 3.61-3.93
Cs 0.2193 0.4310 0.2451  6 Br 3.61-3.93
Cs 0.7807 0.5690 0.7549  6 Br 3.61-3.93
Cs 0.7807 0.9310 0.2549  6 Br 3.61-3.93
Tb 0.5000 0.0000 0.5000  6 Br 2.82-2.84
Tb 0.5000 0.5000 0.0000  6 Br 2.82-2.84
Br 0.1802 0.1739 0.4515  1 Tb 2.82
Br 0.1802 0.3261 0.9515  1 Tb 2.82
Br 0.2692 0.7368 0.4322  1 Tb 2.84
Br 0.2692 0.7632 0.9322  1 Tb 2.84
Br 0.3945 0.0462 0.2803  1 Tb 2.82
Br 0.3945 0.4538 0.7803  1 Tb 2.82
Br 0.6055 0.5462 0.2197  1 Tb 2.82
Br 0.6055 0.9538 0.7197  1 Tb 2.82
Br 0.7308 0.2368 0.0678  1 Tb 2.84
Br 0.7308 0.2632 0.5678  1 Tb 2.84
Br 0.8198 0.6739 0.0485  1 Tb 2.82
Br 0.8198 0.8261 0.5485  1 Tb 2.82



2 is preferred energetically. Next in line: 46 meV per atom higher.



1:
Entry from OQMD: a relaxed Cu2HgI2Br2 crystal (GGA-PBE).

Values from the calculation:
density = 5.629 g cm⁻³
SG = No. 5

Cell lengths 13.6493, 5.9302, 5.9401 Å; angles 90.00, 114.55, 90.00 degrees
Last column: nearest neighbours and their distance in Å.
Fractional coordinates of all 14 atoms:
Cu 0.2502 0.0000 0.2389  2 Br 2.48-2.49, 2 I 2.61-2.62
Cu 0.2498 0.5000 0.7611  2 Br 2.48-2.49, 2 I 2.61-2.62
Cu 0.7498 0.0000 0.7611  2 Br 2.48-2.49, 2 I 2.61-2.62
Cu 0.7502 0.5000 0.2389  2 Br 2.48-2.49, 2 I 2.61-2.62
Hg 0.0000 0.4927 0.0000  2 Br 2.76, 2 I 2.85
Hg 0.5000 0.9927 0.0000  2 Br 2.76, 2 I 2.85
I 0.1304 0.7708 0.4056  2 Cu 2.61-2.62, 1 Hg 2.85
I 0.3696 0.2708 0.5944  2 Cu 2.61-2.62, 1 Hg 2.85
I 0.6304 0.2708 0.4056  2 Cu 2.61-2.62, 1 Hg 2.85
I 0.8696 0.7708 0.5944  2 Cu 2.61-2.62, 1 Hg 2.85
Br 0.1378 0.2329 0.8751  2 Cu 2.48-2.49, 1 Hg 2.76
Br 0.3622 0.7329 0.1249  2 Cu 2.48-2.49, 1 Hg 2.76
Br 0.6378 0.7329 0.8751  2 Cu 2.48-2.49, 1 Hg 2.76
Br 0.8622 0.2329 0.1249  2 Cu 2.48-2.49, 1 Hg 2.76



2:
Entry from OQMD: a relaxed Cu2HgI2Br2 crystal (GGA-PBE).

Values from the calculation:
density = 5.568 g cm⁻³
SG = No. 35

Cell lengths 8.3648, 8.5452, 6.1857 Å; angles 90.00, 90.00, 90.00 degrees
Last column: nearest neighbours and their distance in Å.
Fractional coordinates of all 14 atoms:
Cu 0.2500 0.2500 0.0000  2 Br 2.50, 2 I 2.60
Cu 0.2500 0.7500 0.0000  2 Br 2.50, 2 I 2.60
Cu 0.7500 0.2500 0.0000  2 Br 2.50, 2 I 2.60
Cu 0.7500 0.7500 0.0000  2 Br 2.50, 2 I 2.60
Hg 0.0000 0.0000 0.4843  2 Br 2.75, 2 I 2.84
Hg 0.5000 0.5000 0.4843  2 Br 2.75, 2 I 2.84
I 0.2295 0.5000 0.7620  2 Cu 2.60, 1 Hg 2.84
I 0.2705 0.0000 0.7620  2 Cu 2.60, 1 Hg 2.84
I 0.7295 0.0000 0.7620  2 Cu 2.60, 1 Hg 2.84
I 0.7705 0.5000 0.7620  2 Cu 2.60, 1 Hg 2.84
Br 0.0000 0.2584 0.2206  2 Cu 2.50, 1 Hg 2.75
Br 0.0000 0.7416 0.2206  2 Cu 2.50, 1 Hg 2.75
Br 0.5000 0.2416 0.2206  2 Cu 2.50, 1 Hg 2.75
Br 0.5000 0.7584 0.2206  2 Cu 2.50, 1 Hg 2.75



1 is preferred energetically. Next in line: 5 meV per atom higher.



1:
Entry from OQMD: a relaxed Cu6PS5Br crystal (GGA-PBE).

Values from the calculation:
density = 4.612 g cm⁻³
SG = No. 216

Cell lengths 6.9262, 6.9262, 6.9262 Å; angles 60.00, 60.00, 60.00 degrees
Last column: nearest neighbours and their distance in Å.
Fractional coordinates of all 13 atoms:
Cu 0.2307 0.2307 0.7693  3 S 2.25-2.26
Cu 0.2307 0.7693 0.2307  3 S 2.25-2.26
Cu 0.2307 0.7693 0.7693  3 S 2.25-2.26
Cu 0.7693 0.2307 0.2307  3 S 2.25-2.26
Cu 0.7693 0.2307 0.7693  3 S 2.25-2.26
Cu 0.7693 0.7693 0.2307  3 S 2.25-2.26
P 0.7500 0.7500 0.7500  4 S 2.08
S 0.0000 0.0000 0.0000  6 Cu 2.26
S 0.1179 0.6274 0.6274  1 P 2.08, 3 Cu 2.25
S 0.6274 0.1179 0.6274  1 P 2.08, 3 Cu 2.25
S 0.6274 0.6274 0.1179  1 P 2.08, 3 Cu 2.25
S 0.6274 0.6274 0.6274  1 P 2.08, 3 Cu 2.25
Br 0.2500 0.2500 0.2500  12 Cu 3.47



2:
Entry from OQMD: a relaxed Cu6PS5Br crystal (GGA-PBE).

Values from the calculation:
density = 4.759 g cm⁻³
SG = No. 9

Cell lengths 6.8291, 6.8291, 11.9298 Å; angles 106.63, 106.63, 60.14 degrees
Last column: nearest neighbours and their distance in Å.
Fractional coordinates of all 26 atoms:
Cu 0.0182 0.9818 0.5000  3 S 2.27
Cu 0.1125 0.2108 0.7259  3 S 2.30-2.35
Cu 0.2108 0.1125 0.2259  3 S 2.30-2.35
Cu 0.3337 0.6325 0.7248  3 S 2.28-2.32
Cu 0.4517 0.5184 0.5050  3 S 2.27-2.28
Cu 0.4777 0.9445 0.4947  3 S 2.27-2.28
Cu 0.5184 0.4517 0.0050  3 S 2.27-2.28
Cu 0.6325 0.3337 0.2248  3 S 2.28-2.32
Cu 0.7066 0.8580 0.7229  3 S 2.30-2.36
Cu 0.8580 0.7066 0.2229  3 S 2.30-2.36
Cu 0.9445 0.4777 0.9947  3 S 2.27-2.28
Cu 0.9818 0.0182 0.0000  3 S 2.27
P 0.4795 0.9783 0.9875  4 S 2.07-2.08
P 0.9783 0.4795 0.4875  4 S 2.07-2.08
S 0.0364 0.5427 0.6726  1 P 2.08, 3 Cu 2.28-2.30
S 0.2800 0.2856 0.9242  1 P 2.07, 2 Cu 2.27-2.28
S 0.2856 0.2800 0.4242  1 P 2.07, 2 Cu 2.27-2.28
S 0.3091 0.7770 0.9243  1 P 2.08, 3 Cu 2.27-2.32
S 0.3577 0.8633 0.6263  6 Cu 2.27-2.33
S 0.5427 0.0364 0.1726  1 P 2.08, 3 Cu 2.28-2.30
S 0.7770 0.3091 0.4243  1 P 2.08, 3 Cu 2.27-2.32
S 0.7843 0.8089 0.9218  1 P 2.07, 2 Cu 2.27-2.28
S 0.8089 0.7843 0.4218  1 P 2.07, 2 Cu 2.27-2.28
S 0.8633 0.3577 0.1263  6 Cu 2.27-2.33
Br 0.2338 0.7269 0.2391  3 Cu 2.59-2.72
Br 0.7269 0.2338 0.7391  3 Cu 2.59-2.72



2 is preferred energetically. Next in line: 20 meV per atom higher.



1:
Entry from OQMD: a relaxed DySBr crystal (GGA-PBE).

Values from the calculation:
density = 5.778 g cm⁻³
SG = No. 14

Cell lengths 6.8345, 6.8810, 6.8128 Å; angles 90.00, 100.00, 90.00 degrees
Last column: nearest neighbours and their distance in Å.
Fractional coordinates of all 12 atoms:
Dy 0.1779 0.0370 0.2926  4 S 2.74-2.75, 3 Br 2.96-3.04
Dy 0.1779 0.4630 0.7926  4 S 2.74-2.75, 3 Br 2.96-3.04
Dy 0.8221 0.5370 0.2074  4 S 2.74-2.75, 3 Br 2.96-3.04
Dy 0.8221 0.9630 0.7074  4 S 2.74-2.75, 3 Br 2.96-3.04
S 0.0556 0.7397 0.5090  4 Dy 2.74-2.75
S 0.0556 0.7603 0.0090  4 Dy 2.74-2.75
S 0.9444 0.2397 0.9910  4 Dy 2.74-2.75
S 0.9444 0.2603 0.4910  4 Dy 2.74-2.75
Br 0.4211 0.1275 0.6994  3 Dy 2.96-3.04
Br 0.4211 0.3725 0.1994  3 Dy 2.96-3.04
Br 0.5789 0.6275 0.8006  3 Dy 2.96-3.04
Br 0.5789 0.8725 0.3006  3 Dy 2.96-3.04



2:
Entry from OQMD: a relaxed DySBr crystal (GGA-PBE).

Values from the calculation:
density = 4.740 g cm⁻³
SG = No. 59

Cell lengths 4.0705, 5.3673, 8.8027 Å; angles 90.00, 90.00, 90.00 degrees
Last column: nearest neighbours and their distance in Å.
Fractional coordinates of all 6 atoms:
Dy 0.2500 0.2500 0.1306  4 S 2.72-2.75, 2 Br 2.83
Dy 0.7500 0.7500 0.8694  4 S 2.72-2.75, 2 Br 2.83
S 0.2500 0.7500 0.0789  4 Dy 2.72-2.75
S 0.7500 0.2500 0.9211  4 Dy 2.72-2.75
Br 0.2500 0.7500 0.6461  2 Dy 2.83
Br 0.7500 0.2500 0.3539  2 Dy 2.83



2 is preferred energetically. Next in line: 40 meV per atom higher.



1:
Entry from OQMD: a relaxed Fe2PtI4Br4 crystal (GGA-PBE).

Values from the calculation:
density = 4.114 g cm⁻³
SG = No. 12

Cell lengths 7.9734, 7.9734, 7.3581 Å; angles 94.89, 94.89, 79.93 degrees
Last column: nearest neighbours and their distance in Å.
Fractional coordinates of all 11 atoms:
Fe 0.2113 0.2113 0.3259  2 Br 2.44, 2 I 2.48-2.49
Fe 0.7887 0.7887 0.6741  2 Br 2.44, 2 I 2.48-2.49
Pt 0.0000 0.0000 0.0000  4 Br 2.47
I 0.2262 0.2262 0.6663  1 Fe 2.49
I 0.3946 0.3946 0.2099  1 Fe 2.48
I 0.6054 0.6054 0.7901  1 Fe 2.48
I 0.7738 0.7738 0.3337  1 Fe 2.49
Br 0.0842 0.7364 0.8034  1 Fe 2.44, 1 Pt 2.47
Br 0.2636 0.9158 0.1966  1 Fe 2.44, 1 Pt 2.47
Br 0.7364 0.0842 0.8034  1 Fe 2.44, 1 Pt 2.47
Br 0.9158 0.2636 0.1966  1 Fe 2.44, 1 Pt 2.47



2:
Entry from OQMD: a relaxed Fe2PtI4Br4 crystal (GGA-PBE).

Values from the calculation:
density = 4.274 g cm⁻³
SG = No. 12

Cell lengths 7.8788, 7.8788, 7.2028 Å; angles 92.12, 92.12, 80.60 degrees
Last column: nearest neighbours and their distance in Å.
Fractional coordinates of all 11 atoms:
Fe 0.2217 0.2217 0.3378  2 Br 2.30-2.31
Fe 0.7783 0.7783 0.6622  2 Br 2.30-2.31
Pt 0.0000 0.0000 0.0000  4 I 2.64
I 0.0958 0.7196 0.7931  1 Fe 2.62, 1 Pt 2.64
I 0.2804 0.9042 0.2069  1 Fe 2.62, 1 Pt 2.64
I 0.7196 0.0958 0.7931  1 Fe 2.62, 1 Pt 2.64
I 0.9042 0.2804 0.2069  1 Fe 2.62, 1 Pt 2.64
Br 0.2289 0.2289 0.6587  1 Fe 2.31
Br 0.3931 0.3931 0.2088  1 Fe 2.30
Br 0.6069 0.6069 0.7912  1 Fe 2.30
Br 0.7711 0.7711 0.3413  1 Fe 2.31



2 is preferred energetically. Next in line: 55 meV per atom higher.